Here is Gd2DyGe3PdPt2 after structural relaxation from the Open Quantum Materials Database. Energies are from PBE-GGA.

Cell: 3.936 7.259 7.259 Å, 119.87 90.00 90.00°
Positions (direct):
Gd: 0.000 0.204 0.796
Gd: 0.000 0.796 0.204
Dy: 0.000 0.611 0.611
Ge: 0.500 0.205 0.458
Ge: 0.500 0.458 0.205
Ge: 0.500 0.950 0.950
Pd: 0.000 0.206 0.206
Pt: 0.500 0.538 0.868
Pt: 0.500 0.868 0.538

Results
Calculated volume   179.83 Å³ per cell
Final energy   -54.162 eV per formula unit

---

Here is GdDy2Ge3PdPt2 after structural relaxation from the Open Quantum Materials Database. Energies are from PBE-GGA.

Cell: 3.923 7.256 7.256 Å, 120.14 90.00 90.00°
Positions (direct):
Gd: 0.000 0.000 0.000
Dy: 0.000 0.407 0.813
Dy: 0.000 0.813 0.407
Ge: 0.500 0.152 0.408
Ge: 0.500 0.408 0.152
Ge: 0.500 0.661 0.661
Pd: 0.000 0.409 0.409
Pt: 0.500 0.074 0.738
Pt: 0.500 0.738 0.074

Results
Calculated volume   178.65 Å³ per cell
Final energy   -54.153 eV per formula unit

---

Here is GdDyTa2Ge2 after structural relaxation from the Open Quantum Materials Database. Energies are from PBE-GGA.

Cell: 4.035 4.035 7.874 Å, 90.00 90.00 90.00°
Positions (direct):
Gd: 0.000 0.000 0.000
Dy: 0.500 0.500 0.702
Ta: 0.000 0.500 0.351
Ta: 0.500 0.000 0.351
Ge: 0.000 0.000 0.597
Ge: 0.500 0.500 0.106

Results
Calculated volume   128.19 Å³ per cell
Final energy   -45.734 eV per formula unit

---

Here is GdDyH4 after structural relaxation from the Open Quantum Materials Database. Energies are from PBE-GGA.

Cell: 3.680 3.680 5.198 Å, 90.00 90.00 90.00°
Positions (direct):
Gd: 0.000 0.000 0.000
Dy: 0.500 0.500 0.500
H: 0.000 0.500 0.254
H: 0.000 0.500 0.746
H: 0.500 0.000 0.254
H: 0.500 0.000 0.746

Results
Calculated volume   70.39 Å³ per cell
Final energy   -26.896 eV per formula unit